An optimized crystal structure of BiPd2Pb. Source: the Alexandria database, functional PBE-GGA.

Output
- electronic total energy (eV per atom) = -4.774
- theoretical density (Mg/m³) = 11.38
- ΔE_f (meV/atom) = -280
- total moment (μB/atom) = 0.000

Cell lengths 8.619, 7.440, 5.725 Å; angles 90.00, 90.00, 90.00 degrees
Element x y z (fractional)
1 Bi 0.125 0.083 0.250
2 Bi 0.125 0.417 0.750
3 Bi 0.875 0.583 0.250
4 Bi 0.875 0.917 0.750
5 Pd 0.125 0.750 0.000
6 Pd 0.125 0.750 0.500
7 Pd 0.375 0.250 0.000
8 Pd 0.375 0.250 0.500
9 Pd 0.625 0.750 0.000
10 Pd 0.625 0.750 0.500
11 Pd 0.875 0.250 0.000
12 Pd 0.875 0.250 0.500
13 Pb 0.375 0.584 0.250
14 Pb 0.375 0.916 0.750
15 Pb 0.625 0.084 0.250
16 Pb 0.625 0.416 0.750